DFT (PBE) results for a relaxed structure of HoReGe.

For the volume, the calculation gives 22.11 Å³ per atom. As for the formation energy: -0.15 eV/atom. The value obtained for the total moment is 0.0 μB/cell.

The structure belongs to space group C2/m (No. 12); the cell edges are 7.6082, 4.1286 and 8.7269 Å and the angles 90.00°, 104.57° and 90.00°. The inequivalent atoms are Ho at (0.2082, 0.0000, 0.1694), Re at (0.1493, 0.5000, 0.4614) and Ge at (0.0660, 0.0000, 0.6661).